Computed, not measured: Cr2AgF after structural relaxation at the PBE+U level of DFT.

Cell lengths 6.7568, 6.7568, 5.7294 Å; angles 53.87, 53.87, 90.00 degrees
Sites, in units of the cell vectors:
F1 0.5000 0.5000 0.0000
F2 0.2500 0.7500 0.5000
Ag1 0.0000 0.0000 0.0000
Cr1 0.3750 0.4446 0.7500
Cr2 0.5554 0.1250 0.2500
Cr3 0.8750 0.8054 0.7500
Cr4 0.1946 0.6250 0.2500
Ag2 0.7500 0.2500 0.5000

* final energy: -5.214 eV/atom
* symmetry: I-42d, No. 122
* calculated density: 5.3 g cm⁻³